VGa2F6 after structural relaxation, computed with PBE+U.

DOS(E_F)	0.000	states/eV/f.u.
space group	R3 (146)
calculated density	3.5	Mg/m³
electronic total energy	-0.374	Ry per atom

Cell: 5.932 5.932 5.932 Å, 58.57 58.57 58.57°
Fractional positions:
V 0.000 0.000 0.000
Ga 0.198 0.198 0.198
Ga 0.498 0.498 0.498
F 0.013 0.568 0.217
F 0.095 0.366 0.860
F 0.217 0.013 0.568
F 0.366 0.860 0.095
F 0.568 0.217 0.013
F 0.860 0.095 0.366